Material: KLiSn2Te4
Method: DFT, PBE-GGA
State: relaxed

Results
**ΔE_f (raw)**: -471 meV/atom
**Calculated volume**: 514.6 Å³ per cell
**VASP energy**: -54.70 eV for the cell shown

The structure in POSCAR format:
```
KLiSn2Te4
1.0
8.983 0.047 0.152
0.040 8.984 0.152
-4.362 -4.366 6.230
Sn Li K Te
4 2 2 8
Cartesian
-2.181 -2.183 3.115 Sn
4.492 0.023 0.076 Sn
4.512 4.515 0.152 Sn
2.351 6.824 3.343 Sn
2.331 2.332 3.267 Li
4.661 4.665 6.534 Li
6.822 2.356 3.343 K
0.020 4.492 0.076 K
2.356 2.086 0.126 Te
2.347 6.933 0.331 Te
4.383 0.027 3.089 Te
2.306 2.578 6.409 Te
4.415 4.689 3.393 Te
0.278 4.637 3.445 Te
2.315 -2.268 6.204 Te
0.246 -0.025 3.141 Te
```



Material: KLiSnTe
Method: DFT, PBE-GGA
State: relaxed

Results
**ΔE_f (raw)**: -629 meV/atom
**Calculated volume**: 264.4 Å³ per cell
**VASP energy**: -25.34 eV for the cell shown

The structure in POSCAR format:
```
KLiSnTe
1.0
-3.404 -2.131 -1.697
1.691 -3.782 1.358
-6.815 1.283 12.058
K Li Te Sn
2 2 2 2
Cartesian
-2.920 -4.127 2.639 K
-5.608 -0.503 9.081 K
-2.130 -2.544 -0.933 Li
0.417 -3.369 0.594 Li
-7.257 -3.310 10.312 Te
-1.271 -1.320 1.407 Te
-5.538 -1.902 5.096 Sn
-2.990 -2.728 6.623 Sn
```



Material: KLiSnTe2
Method: DFT, PBE-GGA
State: relaxed

Results
**ΔE_f (raw)**: -710 meV/atom
**Calculated volume**: 376.8 Å³ per cell
**VASP energy**: -33.69 eV for the cell shown

The structure in POSCAR format:
```
KLiSnTe2
1.0
4.597 0.000 0.000
-2.299 8.223 1.015
0.000 -0.670 9.884
Li K Sn Te
2 2 2 4
Cartesian
2.299 3.204 1.104 Li
0.000 4.349 9.795 Li
0.000 5.177 3.638 K
2.298 2.376 7.261 K
2.299 6.773 8.443 Sn
0.000 0.780 2.456 Sn
2.299 6.022 1.094 Te
0.000 5.257 7.148 Te
2.298 2.296 3.751 Te
0.000 1.531 9.806 Te
```



Material: KLiSnTe3
Method: DFT, PBE-GGA
State: relaxed

Results
**ΔE_f (raw)**: -583 meV/atom
**Calculated volume**: 407.6 Å³ per cell
**VASP energy**: -39.87 eV for the cell shown

The structure in POSCAR format:
```
KLiSnTe3
1.0
-2.359 3.253 -1.918
-4.950 -6.603 -5.111
-4.604 1.824 8.756
Sn Te K Li
2 6 2 2
Cartesian
-7.246 1.905 4.391 Sn
-4.667 -3.432 -2.664 Sn
-4.782 -0.339 -2.446 Te
-7.132 -1.188 4.173 Te
-5.375 1.956 2.176 Te
-6.728 -3.175 -4.862 Te
-6.538 -3.483 -0.449 Te
-5.185 1.649 6.589 Te
-2.898 -0.174 0.685 K
-9.015 -1.352 1.042 K
-8.209 -2.882 -2.542 Li
-3.704 1.355 4.269 Li
```



Material: KSr2Li
Method: DFT, PBE-GGA
State: relaxed

Results
**Calculated volume**: 200.3 Å³ per cell
**VASP energy**: -6.03 eV for the cell shown
**E_form**: 0.0857 eV/atom

The structure in POSCAR format:
```
KSr2Li
1.0
4.371 0.000 0.000
0.000 4.297 0.018
0.000 4.273 10.681
Sr Li K
2 1 1
Cartesian
2.186 2.140 2.459 Sr
0.000 4.271 10.214 Sr
2.186 6.428 8.237 Li
0.000 4.290 5.820 K
```



Material: K2SrLi
Method: DFT, PBE-GGA
State: relaxed

Results
**Calculated volume**: 210.4 Å³ per cell
**VASP energy**: -5.26 eV for the cell shown
**E_form**: 0.1319 eV/atom

The structure in POSCAR format:
```
K2SrLi
1.0
8.132 -0.046 0.027
6.920 4.272 0.027
2.629 0.738 6.010
K Li Sr
2 1 1
Cartesian
3.106 0.872 5.780 K
8.364 2.348 3.262 K
13.261 3.723 4.548 Li
4.420 1.241 1.516 Sr
```



Material: KSr2Li2
Method: DFT, PBE-GGA
State: relaxed

Results
**Calculated volume**: 446.6 Å³ per cell
**VASP energy**: -15.18 eV for the cell shown
**E_form**: 0.1400 eV/atom

The structure in POSCAR format:
```
KSr2Li2
1.0
10.495 0.000 0.000
0.000 10.495 0.000
0.000 0.000 4.054
K Li Sr
2 4 4
Cartesian
5.247 5.247 0.000 K
0.000 0.000 0.000 K
8.853 3.606 2.027 Li
6.889 8.853 2.027 Li
3.606 1.642 2.027 Li
1.642 6.889 2.027 Li
1.414 3.833 0.000 Sr
3.833 9.080 0.000 Sr
6.662 1.414 0.000 Sr
9.080 6.662 0.000 Sr
```



Material: KSr2Li
Method: DFT, PBE-GGA
State: relaxed

Results
**Calculated volume**: 198.7 Å³ per cell
**VASP energy**: -5.71 eV for the cell shown
**E_form**: 0.1666 eV/atom

The structure in POSCAR format:
```
KSr2Li
1.0
-3.537 -4.598 -2.663
1.852 -4.075 4.551
-3.804 1.337 2.745
Sr K Li
2 1 1
Cartesian
-0.843 -4.337 0.944 Sr
0.000 0.000 0.000 Sr
-3.671 -1.631 0.041 K
-0.976 -1.369 3.648 Li
```



Material: KSr2Li
Method: DFT, PBE-GGA
State: relaxed

Results
**Calculated volume**: 198.2 Å³ per cell
**VASP energy**: -5.86 eV for the cell shown
**E_form**: 0.1280 eV/atom

The structure in POSCAR format:
```
KSr2Li
1.0
7.808 0.012 0.009
3.666 6.893 -0.009
-4.918 -4.814 3.688
Sr Li K
2 1 1
Cartesian
0.425 0.256 0.000 Sr
4.324 -0.668 1.849 Sr
2.224 2.755 1.840 Li
5.320 3.201 0.000 K
```



Material: K2SrLi
Method: DFT, PBE-GGA
State: relaxed

Results
**Calculated volume**: 445.5 Å³ per cell
**VASP energy**: -9.70 eV for the cell shown
**E_form**: 0.2346 eV/atom

The structure in POSCAR format:
```
K2SrLi
1.0
-1.664 -10.456 -2.173
10.072 -0.806 -3.835
5.456 -6.554 0.478
K Sr Li
4 2 2
Cartesian
1.675 -7.694 -1.598 K
7.359 -4.029 -2.669 K
10.890 -14.725 -4.686 K
7.804 -9.184 -2.107 K
3.998 -11.320 -2.349 Sr
0.000 0.000 0.000 Sr
4.204 -5.631 -3.004 Li
9.866 -6.496 -3.180 Li
```



Material: KSrLi3
Method: DFT, PBE-GGA
State: relaxed

Results
**Calculated volume**: 196.4 Å³ per cell
**VASP energy**: -6.39 eV for the cell shown
**E_form**: 0.4269 eV/atom

The structure in POSCAR format:
```
KSrLi3
1.0
-2.428 -2.998 -4.349
2.684 -4.822 1.826
-4.549 -1.245 3.398
Li K Sr
3 1 1
Cartesian
-2.274 -0.623 1.699 Li
-1.214 -1.499 -2.174 Li
1.342 -2.411 0.913 Li
0.000 0.000 0.000 K
-2.146 -4.533 0.437 Sr
```



Material: K2SrLi
Method: DFT, PBE-GGA
State: relaxed

Results
**Calculated volume**: 212.5 Å³ per cell
**VASP energy**: -5.12 eV for the cell shown
**E_form**: 0.1668 eV/atom

The structure in POSCAR format:
```
K2SrLi
1.0
5.618 0.000 0.000
0.000 5.618 0.000
0.000 0.000 6.734
K Li Sr
2 1 1
Cartesian
0.000 0.000 0.000 K
2.809 2.809 0.000 K
2.809 0.000 3.367 Li
0.000 2.809 3.367 Sr
```



Material: K2SrLi
Method: DFT, PBE-GGA
State: relaxed

Results
**Calculated volume**: 216.0 Å³ per cell
**VASP energy**: -5.15 eV for the cell shown
**E_form**: 0.1599 eV/atom

The structure in POSCAR format:
```
K2SrLi
1.0
4.276 -0.002 -0.012
2.136 3.705 -0.012
2.099 1.212 13.619
K Li Sr
2 1 1
Cartesian
2.107 1.216 10.623 K
2.130 1.230 2.990 K
4.274 2.468 -0.016 Li
4.256 2.457 6.794 Sr
```



Material: KSr2Li
Method: DFT, PBE-GGA
State: relaxed

Results
**Calculated volume**: 203.9 Å³ per cell
**VASP energy**: -5.72 eV for the cell shown
**E_form**: 0.1646 eV/atom

The structure in POSCAR format:
```
KSr2Li
1.0
-0.632 3.387 -3.217
-3.429 -4.221 -3.771
-5.521 1.812 2.992
Li Sr K
1 2 1
Cartesian
-4.475 -1.204 -0.389 Li
-2.030 -0.417 -3.494 Sr
0.000 0.000 0.000 Sr
-3.077 2.600 -0.112 K
```



Material: K2Sr2Li
Method: DFT, PBE-GGA
State: relaxed

Results
**Calculated volume**: 592.4 Å³ per cell
**VASP energy**: -12.78 eV for the cell shown
**E_form**: 0.2160 eV/atom

The structure in POSCAR format:
```
K2Sr2Li
1.0
9.071 0.000 0.000
0.000 9.071 0.000
0.000 0.000 7.199
Sr K Li
4 4 2
Cartesian
5.984 1.448 0.000 Sr
1.448 3.087 0.000 Sr
3.087 7.623 0.000 Sr
7.623 5.984 0.000 Sr
6.068 7.540 3.599 K
3.004 1.532 3.599 K
7.540 3.004 3.599 K
1.532 6.068 3.599 K
4.536 4.536 0.000 Li
0.000 0.000 0.000 Li
```



Material: KSrLi4
Method: DFT, PBE-GGA
State: relaxed

Results
**Calculated volume**: 200.2 Å³ per cell
**VASP energy**: -9.95 eV for the cell shown
**E_form**: 0.0809 eV/atom

The structure in POSCAR format:
```
KSrLi4
1.0
6.566 0.000 0.000
3.283 5.686 0.000
3.283 1.895 5.361
Li Sr K
4 1 1
Cartesian
6.566 3.791 0.689 Li
8.192 4.730 3.344 Li
6.566 1.913 3.344 Li
4.940 4.730 3.344 Li
3.283 1.895 1.340 Sr
0.000 0.000 0.000 K
```



Material: K2SrLi2
Method: DFT, PBE-GGA
State: relaxed

Results
**Calculated volume**: 236.8 Å³ per cell
**VASP energy**: -6.39 eV for the cell shown
**E_form**: 0.2636 eV/atom

The structure in POSCAR format:
```
K2SrLi2
1.0
6.162 0.000 0.000
0.000 6.162 0.000
3.081 3.081 6.235
K Sr Li
2 1 2
Cartesian
6.162 6.162 4.512 K
3.081 3.081 1.723 K
0.000 0.000 0.000 Sr
6.162 3.081 3.118 Li
3.081 6.162 3.118 Li
```



Material: K4Sr2Li
Method: DFT, PBE-GGA
State: relaxed

Results
**Calculated volume**: 477.5 Å³ per cell
**VASP energy**: -7.63 eV for the cell shown
**E_form**: 0.2910 eV/atom

The structure in POSCAR format:
```
K4Sr2Li
1.0
-1.493 6.199 -2.059
-6.512 -1.250 0.960
-3.203 5.991 9.457
K Li Sr
4 1 2
Cartesian
-0.747 3.099 -1.029 K
-7.727 6.172 2.383 K
-3.256 -0.625 0.480 K
-3.481 4.767 5.975 K
0.000 0.000 0.000 Li
-3.810 3.322 1.864 Sr
-7.399 7.617 6.495 Sr
```



Material: K3SrLi
Method: DFT, PBE-GGA
State: relaxed

Results
**Calculated volume**: 477.0 Å³ per cell
**VASP energy**: -4.01 eV for the cell shown
**E_form**: 0.5751 eV/atom

The structure in POSCAR format:
```
K3SrLi
1.0
-7.023 -1.989 2.787
0.526 -6.911 -3.607
3.383 -3.054 6.346
K Li Sr
3 1 1
Cartesian
-3.512 -0.994 1.394 K
0.263 -3.456 -1.803 K
1.692 -1.527 3.173 K
-1.557 -5.977 2.763 Li
0.000 0.000 0.000 Sr
```



Material: K2SrLi
Method: DFT, PBE-GGA
State: relaxed

Results
**Calculated volume**: 215.1 Å³ per cell
**VASP energy**: -5.46 eV for the cell shown
**E_form**: 0.0819 eV/atom

The structure in POSCAR format:
```
K2SrLi
1.0
-2.906 3.138 -0.626
-2.837 -2.913 -1.465
-3.956 -1.529 10.702
Li K Sr
1 2 1
Cartesian
-2.042 -0.789 5.525 Li
-3.899 -1.507 10.547 K
-4.083 -0.356 2.233 K
-5.609 -0.945 6.360 Sr
```